(1)
DFT (PBE) results for an optimized crystal structure of Er2AlAg.

abc: 10.689 10.689 10.689
angles: 18.04 18.04 18.04
Element x y z (fractional)
1 Er 0.094 0.094 0.094
2 Er 0.906 0.906 0.906
3 Al 0.500 0.500 0.500
4 Ag 0.000 0.000 0.000

## Properties
Final energy (eV/cell): -15.192
Total moment (μB/atom): 0.00
Symmetry: R-3m (166)
Energy of formation from the pure elements (eV/atom): 0.13

(2)
DFT (PBE) results for an optimized crystal structure of Li3Nd2Ag2.

abc: 5.849 5.849 7.544
angles: 112.65 112.65 43.68
Element x y z (fractional)
1 Li 0.000 0.000 0.000
2 Li 0.139 0.139 0.437
3 Li 0.861 0.861 0.563
4 Nd 0.360 0.360 0.226
5 Nd 0.640 0.640 0.774
6 Ag 0.360 0.360 0.802
7 Ag 0.640 0.640 0.198

## Properties
Final energy (eV/cell): -21.948
Total moment (μB/atom): 0.00
Offset from the most stable computed form (meV/atom): 0
Symmetry: C2/m (12)
Energy of formation from the pure elements (eV/atom): -0.14

(3)
DFT (PBE) results for an optimized crystal structure of YAg2W.

abc: 4.315 4.315 4.218
angles: 90.00 90.00 90.00
Element x y z (fractional)
1 Y 0.000 0.000 0.000
2 Ag 0.000 0.500 0.500
3 Ag 0.500 0.000 0.500
4 W 0.500 0.500 0.000

## Properties
Final energy (eV/cell): -23.110
Total moment (μB/atom): 0.22
Offset from the most stable computed form (meV/atom): 147
Symmetry: P4/mmm (123)
Energy of formation from the pure elements (eV/atom): 0.50

(4)
DFT (PBE) results for an optimized crystal structure of Cu2IrI.

abc: 6.594 6.594 6.594
angles: 123.24 123.24 84.48
Element x y z (fractional)
1 Cu 0.092 0.625 0.967
2 Cu 0.375 0.342 0.467
3 Cu 0.658 0.125 0.033
4 Cu 0.875 0.908 0.533
5 Ir 0.000 0.000 0.000
6 Ir 0.750 0.250 0.500
7 I 0.250 0.750 0.500
8 I 0.500 0.500 0.000

## Properties
Final energy (eV/cell): -29.395
Total moment (μB/atom): 0.50
Offset from the most stable computed form (meV/atom): 118
Symmetry: I-42d (122)
Formation energy from raw total energies (eV/atom): 0.976